# 1
{
  "formula": "GaHIr3",
  "functional": "PBE",
  "state": "optimized geometry",
  "lattice": [[3.9424, 0.0000, 0.0000], [0.0000, 3.9424, 0.0000], [0.0000, 0.0000, 3.9424]],
  "species": ["H", "Ir", "Ir", "Ir", "Ga"],
  "frac_coords": [[0.0000, 0.0000, 0.0000], [0.0000, 0.5000, 0.0000], [0.0000, 0.0000, 0.5000], [0.5000, 0.0000, 0.0000], [0.5000, 0.5000, 0.5000]],
  "vol_a3_per_atom": 12.3,
  "space_group": "Pm-3m, No. 221",
  "e_tot_ev_per_atom": -6.56,
  "polymorph_energy_mev_per_atom": 0
}

# 2
{
  "formula": "GaHIr2",
  "functional": "PBE",
  "state": "optimized geometry",
  "lattice": [[-1.9379, -2.0185, -0.0663], [-0.3554, -1.6722, 2.2163], [-5.8351, 3.5462, 3.5075]],
  "species": ["H", "Ir", "Ir", "Ga"],
  "frac_coords": [[0.0000, 0.0000, 0.0000], [0.0764, 0.0764, 0.7708], [0.9236, 0.9236, 0.2292], [0.5000, 0.5000, 0.5000]],
  "vol_a3_per_atom": 12.7,
  "space_group": "R-3m, No. 166",
  "e_tot_ev_per_atom": -5.92,
  "polymorph_energy_mev_per_atom": 93
}

# 3
{
  "formula": "GaHIr2",
  "functional": "PBE",
  "state": "optimized geometry",
  "lattice": [[6.0916, 0.0000, 0.0000], [0.0000, 6.0916, 0.0000], [3.0458, 3.0458, 2.5717]],
  "species": ["H", "H", "Ir", "Ir", "Ir", "Ir", "Ga", "Ga"],
  "frac_coords": [[0.5000, 0.5000, 0.0000], [0.2500, 0.7500, 0.5000], [0.5305, 0.1250, 0.2500], [0.2195, 0.6250, 0.2500], [0.3750, 0.4695, 0.7500], [0.8750, 0.7805, 0.7500], [0.0000, 0.0000, 0.0000], [0.7500, 0.2500, 0.5000]],
  "vol_a3_per_atom": 11.9,
  "space_group": "I-42d, No. 122",
  "e_tot_ev_per_atom": -6.01,
  "polymorph_energy_mev_per_atom": 0
}

# 4
{
  "formula": "Ga2HIr",
  "functional": "PBE",
  "state": "optimized geometry",
  "lattice": [[-0.0599, 3.0124, 0.1069], [-2.6391, 1.4572, -0.0293], [-1.1268, 1.2257, 7.3451]],
  "species": ["H", "Ir", "Ga", "Ga"],
  "frac_coords": [[0.0000, 0.0000, 0.0000], [0.5000, 0.5000, 0.5000], [0.0809, 0.0809, 0.7574], [0.9191, 0.9191, 0.2426]],
  "vol_a3_per_atom": 14.4,
  "space_group": "R-3m, No. 166",
  "e_tot_ev_per_atom": -4.61,
  "polymorph_energy_mev_per_atom": 0
}